Record 1
This record from the Alexandria database describes crystalline La5NdHo2Tm at its relaxed geometry. The functional is PBE.

The structure in CIF format:
```
data_La5NdHo2Tm
_chemical_formula_sum 'La20 Nd4 Ho8 Tm4'
_space_group_name_H-M_alt 'C m c 21'
_space_group_IT_number 36
_cell_length_a 5.5150
_cell_length_b 21.6538
_cell_length_c 10.6989
_cell_angle_alpha 90.00
_cell_angle_beta 90.00
_cell_angle_gamma 90.00
loop_
_space_group_symop_operation_xyz
'x,y,z'
'-x,-y,z+1/2'
'-x,y,z'
'x,-y,z+1/2'
'x+1/2,y+1/2,z'
'-x+1/2,-y+1/2,z+1/2'
'-x+1/2,y+1/2,z'
'x+1/2,-y+1/2,z+1/2'
loop_
_atom_site_label
_atom_site_fract_x
_atom_site_fract_y
_atom_site_fract_z
La1 0.0000 0.9998 0.0000
La2 0.0000 0.1230 0.2499
La3 0.0000 0.2205 0.9408
La4 0.0000 0.2205 0.5599
La5 0.0000 0.4983 0.2501
Nd1 0.0000 0.2881 0.2503
Ho1 0.0000 0.3877 0.9997
Ho2 0.0000 0.3879 0.5004
Tm1 0.0000 0.1002 0.7504
```

Summary:
total magnetization: 0.0 μB per cell
uncorrected energy: -4.654 eV per atom
formation energy: 0.1270 eV per atom
N(E_F): 54.1 states/eV/cell

Record 2
This record from the Alexandria database describes crystalline LaNd2HoTm4 at its relaxed geometry. The functional is PBE.

The structure in CIF format:
```
data_LaNd2HoTm4
_chemical_formula_sum 'La4 Nd8 Ho4 Tm16'
_space_group_name_H-M_alt 'C 1 2/c 1'
_space_group_IT_number 15
_cell_length_a 13.6193
_cell_length_b 13.2266
_cell_length_c 6.7857
_cell_angle_alpha 90.00
_cell_angle_beta 119.88
_cell_angle_gamma 90.00
loop_
_space_group_symop_operation_xyz
'x,y,z'
'-x,-y,-z'
'-x,y,-z+1/2'
'x,-y,z+1/2'
'x+1/2,y+1/2,z'
'-x+1/2,-y+1/2,-z'
'-x+1/2,y+1/2,-z+1/2'
'x+1/2,-y+1/2,z+1/2'
loop_
_atom_site_label
_atom_site_fract_x
_atom_site_fract_y
_atom_site_fract_z
La1 0.0000 0.0000 0.0000
Nd1 0.0000 0.5000 0.0000
Nd2 0.2500 0.2500 0.0000
Ho1 0.2500 0.2500 0.5000
Tm1 0.0001 0.2488 0.0009
Tm2 0.2496 0.0016 0.5004
```

Summary:
total magnetization: 0.1 μB per cell
uncorrected energy: -4.206 eV per atom
formation energy: 0.4103 eV per atom
N(E_F): 78.3 states/eV/cell

Record 3
This record from the Alexandria database describes crystalline La2NdHo5Tm at its relaxed geometry. The functional is PBE.

The structure in CIF format:
```
data_La2NdHo5Tm
_chemical_formula_sum 'La8 Nd4 Ho20 Tm4'
_space_group_name_H-M_alt 'C m c 21'
_space_group_IT_number 36
_cell_length_a 5.6558
_cell_length_b 19.7184
_cell_length_c 10.7595
_cell_angle_alpha 90.00
_cell_angle_beta 90.00
_cell_angle_gamma 90.00
loop_
_space_group_symop_operation_xyz
'x,y,z'
'-x,-y,z+1/2'
'-x,y,z'
'x,-y,z+1/2'
'x+1/2,y+1/2,z'
'-x+1/2,-y+1/2,z+1/2'
'-x+1/2,y+1/2,z'
'x+1/2,-y+1/2,z+1/2'
loop_
_atom_site_label
_atom_site_fract_x
_atom_site_fract_y
_atom_site_fract_z
La1 0.0000 0.1141 0.0000
La2 0.0000 0.1153 0.5850
Nd1 0.0000 0.4161 0.7285
Ho1 0.0000 0.0160 0.2923
Ho2 0.0000 0.2815 0.5805
Ho3 0.0000 0.2979 0.9764
Ho4 0.0000 0.3852 0.2880
Ho5 0.0000 0.4810 0.0069
Tm1 0.0000 0.2013 0.2801
```

Summary:
total magnetization: 0.0 μB per cell
uncorrected energy: -4.522 eV per atom
formation energy: 0.1426 eV per atom
N(E_F): 48.7 states/eV/cell

Record 4
This record from the Alexandria database describes crystalline LaNd3Ho6Tm2 at its relaxed geometry. The functional is PBE.

The structure in CIF format:
```
data_LaNd3Ho6Tm2
_chemical_formula_sum 'La2 Nd6 Ho12 Tm4'
_space_group_name_H-M_alt 'C 1 2/m 1'
_space_group_IT_number 12
_cell_length_a 6.1992
_cell_length_b 10.7341
_cell_length_c 11.8336
_cell_angle_alpha 90.00
_cell_angle_beta 100.02
_cell_angle_gamma 90.00
loop_
_space_group_symop_operation_xyz
'x,y,z'
'-x,-y,-z'
'-x,y,-z'
'x,-y,z'
'x+1/2,y+1/2,z'
'-x+1/2,-y+1/2,-z'
'-x+1/2,y+1/2,-z'
'x+1/2,-y+1/2,z'
loop_
_atom_site_label
_atom_site_fract_x
_atom_site_fract_y
_atom_site_fract_z
La1 0.0000 0.0000 0.0000
Nd1 0.0000 0.1670 0.5000
Nd2 0.0000 0.5000 0.5000
Ho1 0.2482 0.5000 0.2482
Ho2 0.2495 0.3326 0.7519
Tm1 0.0000 0.3332 0.0000
```

Summary:
total magnetization: 0.0 μB per cell
uncorrected energy: -4.615 eV per atom
formation energy: 0.0217 eV per atom
N(E_F): 31.0 states/eV/cell

Record 5
This record from the Alexandria database describes crystalline La2NdHoTm4 at its relaxed geometry. The functional is PBE.

The structure in CIF format:
```
data_La2NdHoTm4
_chemical_formula_sum 'La8 Nd4 Ho4 Tm16'
_space_group_name_H-M_alt 'I m m a'
_space_group_IT_number 74
_space_group_name_Hall '-I 2b 2'
_cell_length_a 6.7864
_cell_length_b 11.8607
_cell_length_c 13.2431
_cell_angle_alpha 90.00
_cell_angle_beta 90.00
_cell_angle_gamma 90.00
loop_
_atom_site_label
_atom_site_fract_x
_atom_site_fract_y
_atom_site_fract_z
La1 0.0000 0.0000 0.0000
La2 0.2500 0.2500 0.2500
Nd1 0.0000 0.0000 0.5000
Ho1 0.2500 0.2500 0.7500
Tm1 0.0000 0.0054 0.7501
Tm2 0.2485 0.2500 0.5043
```

Summary:
total magnetization: 0.0 μB per cell
uncorrected energy: -4.233 eV per atom
formation energy: 0.4028 eV per atom
N(E_F): 75.3 states/eV/cell

Record 6
This record from the Alexandria database describes crystalline LaNd3HoTm at its relaxed geometry. The functional is PBE.

The structure in CIF format:
```
data_LaNd3HoTm
_chemical_formula_sum 'La4 Nd12 Ho4 Tm4'
_space_group_name_H-M_alt 'C 1 2/m 1'
_space_group_IT_number 12
_cell_length_a 20.6870
_cell_length_b 5.8307
_cell_length_c 6.8433
_cell_angle_alpha 90.00
_cell_angle_beta 91.59
_cell_angle_gamma 90.00
loop_
_space_group_symop_operation_xyz
'x,y,z'
'-x,-y,-z'
'-x,y,-z'
'x,-y,z'
'x+1/2,y+1/2,z'
'-x+1/2,-y+1/2,-z'
'-x+1/2,y+1/2,-z'
'x+1/2,-y+1/2,z'
loop_
_atom_site_label
_atom_site_fract_x
_atom_site_fract_y
_atom_site_fract_z
La1 0.1466 0.0000 0.0236
Nd1 0.0180 0.0000 0.7475
Nd2 0.1589 0.5000 0.7462
Nd3 0.2200 0.5000 0.2717
Ho1 0.0581 0.5000 0.2731
Tm1 0.1415 0.0000 0.4766
```

Summary:
total magnetization: 0.0 μB per cell
uncorrected energy: -4.526 eV per atom
formation energy: 0.1877 eV per atom
N(E_F): 35.1 states/eV/cell